Record 1
This record from Alexandria describes ZnFeCu2 after structural relaxation. The functional is GGA-PBEsol.

Values from the calculation:
formation energy	0.022	eV per atom
DOS(E_F)	0.349	states/eV/atom
raw total energy	-4.781	eV/atom

a = 2.5536 Å, b = 2.5536 Å, c = 7.1686 Å
α = 90.00°, β = 90.00°, γ = 90.00°
Closest atoms and distances in Å follow each position.
Fractional positions:
Zn 0.0000 0.0000 0.0000  4 Zn 2.55, 4 Fe 2.57, 4 Cu 2.57
Fe 0.5000 0.5000 0.7444  4 Cu 2.51, 4 Fe 2.55, 4 Zn 2.57
Cu 0.0000 0.0000 0.5003  4 Fe 2.51, 8 Cu 2.52-2.55
Cu 0.5000 0.5000 0.2559  8 Cu 2.52-2.55, 4 Zn 2.57

Record 2
This record from Alexandria describes Bi2Te2SeO10 after structural relaxation. The functional is GGA-PBEsol.

Values from the calculation:
DOS(E_F)	0.000	states/eV/atom
raw total energy	-5.852	eV/atom
raw formation energy	-1.054	eV/atom

a = 8.7921 Å, b = 8.7921 Å, c = 8.0542 Å
α = 109.24°, β = 109.24°, γ = 50.88°
Closest atoms and distances in Å follow each position.
Fractional positions:
Bi 0.0407 0.3316 0.1489  3 O 2.23-2.27
Bi 0.3316 0.0407 0.6489  3 O 2.23-2.27
Bi 0.6684 0.9593 0.3511  3 O 2.23-2.27
Bi 0.9593 0.6684 0.8511  3 O 2.23-2.27
Te 0.3167 0.4554 0.5309  3 O 1.89-1.93
Te 0.4554 0.3167 0.0309  3 O 1.89-1.93
Te 0.5446 0.6833 0.9691  3 O 1.89-1.93
Te 0.6833 0.5446 0.4691  3 O 1.89-1.93
Se 0.1046 0.8954 0.2500  4 O 1.67
Se 0.8954 0.1046 0.7500  4 O 1.67
O 0.0696 0.5426 0.3795  1 Te 1.89
O 0.0747 0.1125 0.3153  1 Se 1.67
O 0.1125 0.0747 0.8153  1 Se 1.67
O 0.1836 0.4079 0.9936  1 Te 1.93
O 0.2159 0.7575 0.0708  1 Se 1.67
O 0.2425 0.7841 0.4292  1 Se 1.67
O 0.2525 0.4947 0.7551  1 Te 1.93
O 0.4079 0.1836 0.4936  1 Te 1.93
O 0.4574 0.9304 0.1205  1 Te 1.89
O 0.4947 0.2525 0.2551  1 Te 1.93
O 0.5053 0.7475 0.7449  1 Te 1.93
O 0.5426 0.0696 0.8795  1 Te 1.89
O 0.5921 0.8164 0.5064  1 Te 1.93
O 0.7475 0.5053 0.2449  1 Te 1.93
O 0.7575 0.2159 0.5708  1 Se 1.67
O 0.7841 0.2425 0.9292  1 Se 1.67
O 0.8164 0.5921 0.0064  1 Te 1.93
O 0.8875 0.9253 0.1847  1 Se 1.67
O 0.9253 0.8875 0.6847  1 Se 1.67
O 0.9304 0.4574 0.6205  1 Te 1.89

| no. | size of the total moment (μB per formula unit) |
| --- | --- |
| 1 | 2.34 |
| 2 | 0.00 |